No. 1
This record from the Alexandria database describes NdPu2MnN4 after structural relaxation. The functional is PBE.

a = 5.9981 Å, b = 5.9981 Å, c = 11.4733 Å
α = 90.00°, β = 90.00°, γ = 147.10°
Sites, in units of the cell vectors:
Nd (0.1054, 0.8946, 0.7500)
Nd (0.8946, 0.1054, 0.2500)
Pu (0.3690, 0.6310, 0.5528)
Pu (0.3690, 0.6310, 0.9472)
Pu (0.6310, 0.3690, 0.0528)
Pu (0.6310, 0.3690, 0.4472)
Mn (0.1583, 0.8417, 0.2500)
Mn (0.8417, 0.1583, 0.7500)
N (0.0000, 0.0000, 0.0000)
N (0.0000, 0.0000, 0.5000)
N (0.2668, 0.7332, 0.1166)
N (0.2668, 0.7332, 0.3834)
N (0.4389, 0.5611, 0.7500)
N (0.5611, 0.4389, 0.2500)
N (0.7332, 0.2668, 0.6166)
N (0.7332, 0.2668, 0.8834)

Summary:
The total magnetization comes out at 10.14 μB/cell. The raw formation energy comes out at -1052 meV per atom. As for the total energy: -168.64 eV per cell. The density of states at the Fermi level is 23.6 states/eV/cell. Its space group is No. 63.

No. 2
This record from the Alexandria database describes Nd2PuMn2N6 after structural relaxation. The functional is PBE.

a = 6.6006 Å, b = 6.6006 Å, c = 6.6006 Å
α = 50.38°, β = 50.38°, γ = 50.38°
Sites, in units of the cell vectors:
Nd (0.2105, 0.2105, 0.2105)
Nd (0.7895, 0.7895, 0.7895)
Pu (0.0000, 0.0000, 0.0000)
Mn (0.4015, 0.4015, 0.4015)
Mn (0.5985, 0.5985, 0.5985)
N (0.2342, 0.7435, 0.7435)
N (0.2565, 0.2565, 0.7658)
N (0.2565, 0.7658, 0.2565)
N (0.7435, 0.2342, 0.7435)
N (0.7435, 0.7435, 0.2342)
N (0.7658, 0.2565, 0.2565)

Summary:
The total magnetization comes out at 6.09 μB/cell. The raw formation energy comes out at -708 meV per atom. As for the total energy: -99.95 eV per cell. The density of states at the Fermi level is 7.3 states/eV/cell. Its space group is No. 166.

No. 3
This record from the Alexandria database describes NdMn2SiN after structural relaxation. The functional is PBE.

a = 5.6742 Å, b = 5.6742 Å, c = 7.0571 Å
α = 90.00°, β = 90.00°, γ = 141.51°
Sites, in units of the cell vectors:
Nd (0.0458, 0.9542, 0.7500)
Nd (0.9542, 0.0458, 0.2500)
Mn (0.3335, 0.6665, 0.5586)
Mn (0.3335, 0.6665, 0.9414)
Mn (0.6665, 0.3335, 0.0586)
Mn (0.6665, 0.3335, 0.4414)
Si (0.2313, 0.7687, 0.2500)
Si (0.7687, 0.2313, 0.7500)
N (0.5000, 0.5000, 0.0000)
N (0.5000, 0.5000, 0.5000)

Summary:
The total magnetization comes out at 5.27 μB/cell. The raw formation energy comes out at -749 meV per atom. As for the total energy: -81.20 eV per cell. The density of states at the Fermi level is 6.1 states/eV/cell. Its space group is No. 63.

No. 4
This record from the Alexandria database describes NdSm2MnN4 after structural relaxation. The functional is PBE.

a = 6.0847 Å, b = 6.0847 Å, c = 11.8661 Å
α = 90.00°, β = 90.00°, γ = 146.94°
Sites, in units of the cell vectors:
Nd (0.0997, 0.9003, 0.7500)
Nd (0.9003, 0.0997, 0.2500)
Sm (0.3679, 0.6321, 0.5447)
Sm (0.3679, 0.6321, 0.9553)
Sm (0.6321, 0.3679, 0.0447)
Sm (0.6321, 0.3679, 0.4553)
Mn (0.1672, 0.8328, 0.2500)
Mn (0.8328, 0.1672, 0.7500)
N (0.0000, 0.0000, 0.0000)
N (0.0000, 0.0000, 0.5000)
N (0.2689, 0.7311, 0.1341)
N (0.2689, 0.7311, 0.3659)
N (0.4166, 0.5834, 0.7500)
N (0.5834, 0.4166, 0.2500)
N (0.7311, 0.2689, 0.6341)
N (0.7311, 0.2689, 0.8659)

Summary:
The total magnetization comes out at 2.51 μB/cell. The raw formation energy comes out at -1044 meV per atom. As for the total energy: -130.06 eV per cell. The density of states at the Fermi level is 9.1 states/eV/cell. Its space group is No. 63.

No. 5
This record from the Alexandria database describes NdTa2MnN4 after structural relaxation. The functional is PBE.

a = 5.7136 Å, b = 5.7136 Å, c = 10.8908 Å
α = 90.00°, β = 90.00°, γ = 148.31°
Sites, in units of the cell vectors:
Nd (0.1078, 0.8922, 0.7500)
Nd (0.8922, 0.1078, 0.2500)
Ta (0.3689, 0.6311, 0.5571)
Ta (0.3689, 0.6311, 0.9429)
Ta (0.6311, 0.3689, 0.0571)
Ta (0.6311, 0.3689, 0.4429)
Mn (0.1579, 0.8421, 0.2500)
Mn (0.8421, 0.1579, 0.7500)
N (0.0000, 0.0000, 0.0000)
N (0.0000, 0.0000, 0.5000)
N (0.2692, 0.7308, 0.1093)
N (0.2692, 0.7308, 0.3907)
N (0.4437, 0.5563, 0.7500)
N (0.5563, 0.4437, 0.2500)
N (0.7308, 0.2692, 0.6093)
N (0.7308, 0.2692, 0.8907)

Summary:
The total magnetization comes out at 1.08 μB/cell. The raw formation energy comes out at -995 meV per atom. As for the total energy: -157.81 eV per cell. The density of states at the Fermi level is 6.0 states/eV/cell. Its space group is No. 63.

No. 6
This record from the Alexandria database describes NdThMnN3 after structural relaxation. The functional is PBE.

a = 7.3081 Å, b = 3.5719 Å, c = 7.6051 Å
α = 90.00°, β = 94.78°, γ = 90.00°
Sites, in units of the cell vectors:
Nd (0.1465, 0.2500, 0.1679)
Nd (0.8535, 0.7500, 0.8321)
Th (0.3640, 0.7500, 0.8191)
Th (0.6360, 0.2500, 0.1809)
Mn (0.0702, 0.2500, 0.5919)
Mn (0.9298, 0.7500, 0.4081)
N (0.1257, 0.2500, 0.8498)
N (0.1481, 0.7500, 0.5460)
N (0.3991, 0.7500, 0.1334)
N (0.6009, 0.2500, 0.8666)
N (0.8519, 0.2500, 0.4540)
N (0.8743, 0.7500, 0.1502)

Summary:
The total magnetization comes out at 2.26 μB/cell. The raw formation energy comes out at -1078 meV per atom. As for the total energy: -105.61 eV per cell. The density of states at the Fermi level is 2.8 states/eV/cell. Its space group is No. 11.

Among the records above, which one has the lowest total energy?
NdPu2MnN4